Entry 1:
DFT (PBE) results for YTaIn after structural relaxation.

```
YTaIn
1.0
4.834 0.000 0.000
2.417 4.187 0.000
2.417 1.396 3.947
In Ta Y
1 1 1
Direct
0.750 0.750 0.750
0.000 0.000 0.000
0.500 0.500 0.500
```

Results
Formation energy from the elements, kJ per mole of atoms: 61
SG: F-43m, No. 216
Raw total energy, eV for the cell shown: -19.16

Entry 2:
DFT (PBE) results for Y2TaIn after structural relaxation.

```
Y2TaIn
1.0
-4.782 2.351 2.868
-3.456 0.272 4.961
2.036 4.275 2.956
In Ta Y
1 1 2
Direct
0.527 0.527 0.528
0.224 0.224 0.217
0.976 0.976 0.056
0.773 0.773 0.699
```

Results
Formation energy from the elements, kJ per mole of atoms: 6
SG: Cm, No. 8
Raw total energy, eV for the cell shown: -27.25

Entry 3:
DFT (PBE) results for Y2TaIn after structural relaxation.

```
Y2TaIn
1.0
-1.127 -1.117 -6.270
4.880 -0.261 -4.236
-2.999 -2.307 5.245
In Ta Y
1 1 2
Direct
0.479 0.479 0.000
0.265 0.765 0.500
0.024 0.024 0.000
0.732 0.232 0.500
```

Results
Formation energy from the elements, kJ per mole of atoms: 10
SG: Imm2, No. 44
Raw total energy, eV for the cell shown: -27.09

Entry 4:
DFT (PBE) results for Y2TaIn after structural relaxation.

```
Y2TaIn
1.0
5.695 0.008 0.000
2.000 5.332 0.000
-3.848 -2.670 3.240
In Ta Y
1 1 2
Direct
0.250 0.750 0.500
0.750 0.250 0.500
0.000 0.000 0.000
0.500 0.500 0.000
```

Results
Formation energy from the elements, kJ per mole of atoms: 11
SG: I4/mmm, No. 139
Raw total energy, eV for the cell shown: -27.06